The following is a GGA-PBE calculation of crystalline Pm5Nd5Er2 at its relaxed geometry, from Alexandria via LeMat-Bulk.

## Properties
- Energy: -4.711 eV per atom
- Symmetry: C2/m, No. 12
- Spin magnetization: 0.00 μB/f.u.
- Energy of formation: 0.02 eV/atom
- Calculated volume: 34.10 A^3/atom

CIF file:
```
data_Pm5Nd5Er2
_chemical_formula_sum 'Pm5 Nd5 Er2'
_cell_length_a 5.144
_cell_length_b 8.145
_cell_length_c 10.918
_cell_angle_alpha 72.61
_cell_angle_beta 76.37
_cell_angle_gamma 71.59
_symmetry_space_group_name_H-M 'P 1'
_symmetry_Int_Tables_number 1
loop_
_symmetry_equiv_pos_as_xyz
'x,y,z'
loop_
_atom_site_label
_atom_site_type_symbol
_atom_site_fract_x
_atom_site_fract_y
_atom_site_fract_z
Pm1 Pm 0.418 0.914 0.249
Pm2 Pm 0.333 0.334 0.000
Pm3 Pm 0.500 0.500 0.500
Pm4 Pm 0.582 0.086 0.751
Pm5 Pm 0.667 0.666 0.000
Nd1 Nd 0.000 0.000 0.000
Nd2 Nd 0.835 0.831 0.499
Nd3 Nd 0.748 0.253 0.251
Nd4 Nd 0.252 0.747 0.749
Nd5 Nd 0.165 0.169 0.501
Er1 Er 0.084 0.584 0.249
Er2 Er 0.916 0.416 0.751
```



The following is a GGA-PBE calculation of crystalline Pm6NdEr4 at its relaxed geometry, from Alexandria via LeMat-Bulk.

## Properties
- Energy: -4.317 eV per atom
- Symmetry: I-42m, No. 121
- Spin magnetization: 0.00 μB/f.u.
- Polymorph energy (0 for the lowest one): 254.1 meV per atom
- Energy of formation: 0.37 eV/atom
- Calculated volume: 35.14 A^3/atom

CIF file:
```
data_Pm6NdEr4
_chemical_formula_sum 'Pm6 Nd1 Er4'
_cell_length_a 7.511
_cell_length_b 7.511
_cell_length_c 8.669
_cell_angle_alpha 115.67
_cell_angle_beta 115.67
_cell_angle_gamma 90.00
_symmetry_space_group_name_H-M 'P 1'
_symmetry_Int_Tables_number 1
loop_
_symmetry_equiv_pos_as_xyz
'x,y,z'
loop_
_atom_site_label
_atom_site_type_symbol
_atom_site_fract_x
_atom_site_fract_y
_atom_site_fract_z
Er1 Er 0.757 0.079 0.836
Er2 Er 0.079 0.757 0.836
Er3 Er 0.921 0.921 0.164
Er4 Er 0.243 0.243 0.164
Pm1 Pm 0.459 0.915 0.374
Pm2 Pm 0.541 0.541 0.626
Pm3 Pm 0.915 0.459 0.374
Pm4 Pm 0.085 0.085 0.626
Pm5 Pm 0.500 0.000 0.000
Pm6 Pm 0.000 0.500 0.000
Nd1 Nd 0.500 0.500 0.000
```



The following is a GGA-PBE calculation of crystalline PmNd4Er10 at its relaxed geometry, from Alexandria via LeMat-Bulk.

## Properties
- Energy: -4.357 eV per atom
- Symmetry: I4/mmm, No. 139
- Spin magnetization: 0.00 μB/f.u.
- Energy of formation: 0.27 eV/atom
- Calculated volume: 33.55 A^3/atom

CIF file:
```
data_PmNd4Er10
_chemical_formula_sum 'Pm1 Nd4 Er10'
_cell_length_a 7.979
_cell_length_b 8.888
_cell_length_c 8.888
_cell_angle_alpha 78.38
_cell_angle_beta 63.33
_cell_angle_gamma 63.33
_symmetry_space_group_name_H-M 'P 1'
_symmetry_Int_Tables_number 1
loop_
_symmetry_equiv_pos_as_xyz
'x,y,z'
loop_
_atom_site_label
_atom_site_type_symbol
_atom_site_fract_x
_atom_site_fract_y
_atom_site_fract_z
Nd1 Nd 0.772 0.000 0.455
Nd2 Nd 0.228 0.000 0.545
Nd3 Nd 0.773 0.455 0.000
Nd4 Nd 0.227 0.545 0.000
Er1 Er 0.705 0.208 0.792
Er2 Er 0.750 0.500 0.500
Er3 Er 0.497 0.208 0.208
Er4 Er 0.295 0.792 0.208
Er5 Er 0.087 0.208 0.208
Er6 Er 0.913 0.792 0.792
Er7 Er 0.250 0.500 0.500
Er8 Er 0.503 0.792 0.792
Er9 Er 0.705 0.792 0.208
Er10 Er 0.295 0.208 0.792
Pm1 Pm 0.000 0.000 0.000
```



The following is a GGA-PBE calculation of crystalline Pm5Nd6Er at its relaxed geometry, from Alexandria via LeMat-Bulk.

## Properties
- Energy: -4.730 eV per atom
- Symmetry: Immm, No. 71
- Spin magnetization: 0.00 μB/f.u.
- Energy of formation: 0.01 eV/atom
- Calculated volume: 34.45 A^3/atom

CIF file:
```
data_Pm5Nd6Er
_chemical_formula_sum 'Pm5 Nd6 Er1'
_cell_length_a 5.173
_cell_length_b 10.320
_cell_length_c 9.659
_cell_angle_alpha 122.29
_cell_angle_beta 105.55
_cell_angle_gamma 90.00
_symmetry_space_group_name_H-M 'P 1'
_symmetry_Int_Tables_number 1
loop_
_symmetry_equiv_pos_as_xyz
'x,y,z'
loop_
_atom_site_label
_atom_site_type_symbol
_atom_site_fract_x
_atom_site_fract_y
_atom_site_fract_z
Er1 Er 0.000 0.000 0.000
Nd1 Nd 0.500 0.248 0.000
Nd2 Nd 0.834 0.083 0.668
Nd3 Nd 0.834 0.585 0.668
Nd4 Nd 0.166 0.917 0.332
Nd5 Nd 0.500 0.752 0.000
Nd6 Nd 0.166 0.415 0.332
Pm1 Pm 0.333 0.333 0.666
Pm2 Pm 0.666 0.166 0.332
Pm3 Pm 0.667 0.667 0.334
Pm4 Pm 0.000 0.500 0.000
Pm5 Pm 0.334 0.834 0.668
```